(1)
{"formula": "BeAlAs2", "functional": "PBE-GGA", "state": "relaxed", "mass_density_g_cm3": 3.8, "e_above_lowest_polymorph_mev_per_atom": 0, "formation_energy_ev_per_atom": -0.17, "lattice": [[5.398, 0.000, 0.000], [0.000, 5.398, 0.000], [2.699, 2.699, 5.581]], "species": ["Be", "Be", "As", "As", "As", "As", "Al", "Al"], "fractional_positions": [[0.500, 0.500, 0.000], [0.250, 0.750, 0.500], [0.590, 0.125, 0.250], [0.160, 0.625, 0.250], [0.375, 0.410, 0.750], [0.875, 0.840, 0.750], [0.000, 0.000, 0.000], [0.750, 0.250, 0.500]]}

***

(2)
{"formula": "Tl4CoAu", "functional": "PBE-GGA", "state": "relaxed", "mass_density_g_cm3": 10.5, "formation_energy_ev_per_atom": 0.79, "lattice": [[0.000, 4.392, 4.392], [4.392, 0.000, 4.392], [4.392, 4.392, 0.000]], "species": ["Tl", "Tl", "Tl", "Tl", "Co", "Au"], "fractional_positions": [[0.875, 0.375, 0.375], [0.375, 0.375, 0.875], [0.375, 0.875, 0.375], [0.375, 0.375, 0.375], [0.000, 0.000, 0.000], [0.750, 0.750, 0.750]]}

***

(3)
{"formula": "Li2CdRe", "functional": "PBE-GGA", "state": "relaxed", "mass_density_g_cm3": 8.0, "formation_energy_ev_per_atom": 0.36, "lattice": [[-4.835, 1.087, 1.033], [-4.195, -0.797, 2.720], [0.875, 3.537, 3.621]], "species": ["Cd", "Li", "Li", "Re"], "fractional_positions": [[0.252, 0.252, 0.269], [0.996, 0.996, 0.990], [0.751, 0.751, 0.748], [0.502, 0.502, 0.493]]}

***

(4)
{"formula": "TmMgGa", "functional": "PBE-GGA", "state": "relaxed", "mass_density_g_cm3": 6.4, "e_above_lowest_polymorph_mev_per_atom": 86, "formation_energy_ev_per_atom": -0.39, "lattice": [[4.377, 0.000, 0.000], [2.189, 5.324, -0.120], [2.189, 1.201, 5.805]], "species": ["Tm", "Tm", "Mg", "Mg", "Ga", "Ga"], "fractional_positions": [[0.433, 0.308, 0.825], [0.567, 0.692, 0.175], [0.823, 0.766, 0.587], [0.177, 0.234, 0.413], [0.852, 0.135, 0.161], [0.148, 0.865, 0.839]]}

***

Respective D(E_F) values: 2.33 8.72 2.40 1.50 states/eV/f.u..